Here is Li3Fe4P6O24 after structural relaxation from Alexandria. Energies are from PBE+U.

Cell lengths 6.4299, 8.4987, 8.8421 Å; angles 93.12, 106.90, 105.12 degrees
With the nearest neighbours (Å) after each atom.
Element x y z (fractional)
O  0.5313  0.1758  0.7306  1 P 1.55
O  0.6786  0.9459  0.5913  1 P 1.57
O  0.4096  0.3462  0.0264  1 P 1.55
Li  0.0000  0.5000  0.5000  6 O 2.12-2.35
O  0.7645  0.2684  0.5419  1 P 1.56
Li  0.7586  0.7330  0.2872  5 O 2.04-2.28
O  0.8898  0.8273  0.8238  1 P 1.53
Fe  0.3711  0.9414  0.6255  5 O 1.93-2.08
P  0.8815  0.8707  0.6564  4 O 1.53-1.57
Li  0.2414  0.2670  0.7128  5 O 2.04-2.28
P  0.6435  0.3507  0.1433  4 O 1.53-1.57
O  0.8564  0.7216  0.5382  1 P 1.54
O  0.1102  0.1727  0.1762  1 P 1.53
O  0.1436  0.2784  0.4618  1 P 1.54
O  0.3214  0.0541  0.4087  1 P 1.57
O  0.8176  0.3933  0.0473  1 P 1.57
O  0.4687  0.8242  0.2694  1 P 1.55
P  0.1185  0.1293  0.3436  4 O 1.53-1.57
O  0.7445  0.4732  0.7472  1 P 1.55
Fe  0.8719  0.6398  0.9393  5 O 1.93-2.06
O  0.8969  0.9969  0.3371  1 P 1.55
O  0.3758  0.8198  0.8034  1 P 1.53
O  0.7359  0.4888  0.2856  1 P 1.54
O  0.2641  0.5112  0.7144  1 P 1.54
O  0.1824  0.6067  0.9527  1 P 1.57
P  0.3565  0.6493  0.8567  4 O 1.53-1.57
O  0.6242  0.1802  0.1966  1 P 1.53
O  0.9682  0.2648  0.8300  1 P 1.56
P  0.2495  0.7066  0.2854  4 O 1.55-1.56
Fe  0.6289  0.0586  0.3745  5 O 1.93-2.08
O  0.2555  0.5268  0.2528  1 P 1.55
O  0.2355  0.7316  0.4581  1 P 1.56
O  0.5904  0.6538  0.9736  1 P 1.55
Fe  0.1281  0.3602  0.0607  5 O 1.93-2.06
O  0.0318  0.7352  0.1700  1 P 1.56
O  0.1031  0.0031  0.6629  1 P 1.55
P  0.7505  0.2934  0.7146  4 O 1.55-1.56

- space group = No. 2
- energy above the lowest structure with this stoichiometry (eV per formula unit) = 0.98
- calculated density (Mg/m³) = 3.059
- volume (Å³ per cell) = 442
- crystal system = triclinic